[1]
This record from Alexandria via LeMat-Bulk describes a relaxed BeFe2Pt crystal. The functional is GGA-PBE.

Unit cell a=2.6198 b=3.6875 c=5.0083 alpha=90.00 beta=94.45 gamma=90.00
Space group P2/m (No. 10)
Inequivalent atoms, fractional coordinates:
Be 0.0000 0.0000 0.0000 (multiplicity 1)
Fe 0.4622 0.5000 0.2270 (multiplicity 2)
Pt 0.0000 0.0000 0.5000 (multiplicity 1)

Summary:
Energy of formation   -0.16 eV/atom
V   12.059 Å³ per atom
N(E_F)   0.536 states/eV per atom
Total energy   -6.830 eV/atom

---

[2]
This record from Alexandria via LeMat-Bulk describes a relaxed CaCuMo2 crystal. The functional is GGA-PBE.

Unit cell a=3.3356 b=4.6410 c=9.1077 alpha=90.00 beta=90.00 gamma=90.00
Space group Cmm2 (No. 35)
Inequivalent atoms, fractional coordinates:
Ca 0.0000 0.0000 0.0000 (multiplicity 2)
Cu 0.0000 0.5000 0.2653 (multiplicity 2)
Mo 0.0000 0.0000 0.4881 (multiplicity 2)
Mo 0.0000 0.5000 0.7100 (multiplicity 2)

Summary:
Energy of formation   0.46 eV/atom
V   17.624 Å³ per atom
Energy above the lowest structure with this stoichiometry   0.1239 eV/atom
N(E_F)   0.745 states/eV per atom
Total energy   -6.476 eV/atom

---

[3]
This record from Alexandria via LeMat-Bulk describes a relaxed Ba3Al2Ag3 crystal. The functional is GGA-PBE.

Unit cell a=4.8030 b=13.6293 c=15.8838 alpha=90.00 beta=90.00 gamma=90.00
Space group Cmcm (No. 63)
Inequivalent atoms, fractional coordinates:
Ba 0.0000 0.0618 0.2500 (multiplicity 4)
Ba 0.0000 0.1466 0.5156 (multiplicity 8)
Al 0.0000 0.3214 0.1690 (multiplicity 8)
Ag 0.0000 0.2086 0.7500 (multiplicity 4)
Ag 0.0000 0.4988 0.5928 (multiplicity 8)

Summary:
Energy of formation   -0.13 eV/atom
V   32.493 Å³ per atom
N(E_F)   0.583 states/eV per atom
Total energy   -2.851 eV/atom

---

[4]
This record from Alexandria via LeMat-Bulk describes a relaxed BeCuPd3 crystal. The functional is GGA-PBE.

Unit cell a=2.8396 b=6.1171 c=7.8771 alpha=100.84 beta=100.33 gamma=90.00
Space group P-1 (No. 2)
Inequivalent atoms, fractional coordinates:
Be 0.1002 0.0571 0.1992 (multiplicity 2)
Cu 0.0927 0.5440 0.1858 (multiplicity 2)
Pd 0.3092 0.6727 0.6190 (multiplicity 2)
Pd 0.3161 0.1373 0.6338 (multiplicity 2)
Pd 0.4987 0.7780 0.9974 (multiplicity 2)

Summary:
Energy of formation   -0.33 eV/atom
V   13.213 Å³ per atom
Energy above the lowest structure with this stoichiometry   0.0000 eV/atom
N(E_F)   0.333 states/eV per atom
Total energy   -5.007 eV/atom

---

[5]
This record from Alexandria via LeMat-Bulk describes a relaxed LiZrAs crystal. The functional is GGA-PBE.

Unit cell a=3.7487 b=3.7487 c=7.3543 alpha=90.00 beta=90.00 gamma=90.00
Space group P4/nmm (No. 129, origin choice 2)
Inequivalent atoms, fractional coordinates:
Li 0.2500 0.7500 0.0000 (multiplicity 2)
Zr 0.2500 0.2500 0.3716 (multiplicity 2)
As 0.2500 0.2500 0.7558 (multiplicity 2)

Summary:
Energy of formation   -0.90 eV/atom
V   17.225 Å³ per atom
Energy above the lowest structure with this stoichiometry   0.0000 eV/atom
N(E_F)   0.401 states/eV per atom
Total energy   -5.935 eV/atom

---

[6]
This record from Alexandria via LeMat-Bulk describes a relaxed Nd4RhI5 crystal. The functional is GGA-PBE.

Unit cell a=19.9112 b=4.2103 c=9.2030 alpha=90.00 beta=103.02 gamma=90.00
Space group C2/m (No. 12)
Inequivalent atoms, fractional coordinates:
Nd 0.9999 0.0000 0.2054 (multiplicity 4)
Nd 0.1467 0.5000 0.0779 (multiplicity 4)
Rh 0.0000 0.5000 0.0000 (multiplicity 2)
I 0.0000 0.5000 0.5000 (multiplicity 2)
I 0.1676 0.0000 0.3478 (multiplicity 4)
I 0.1750 0.0000 0.8267 (multiplicity 4)

Summary:
V   37.583 Å³ per atom
N(E_F)   0.697 states/eV per atom
Total energy   -4.589 eV/atom

---

[7]
This record from Alexandria via LeMat-Bulk describes a relaxed HoPuIn2O8 crystal. The functional is GGA-PBE.

Unit cell a=7.0533 b=7.1972 c=6.7355 alpha=90.00 beta=90.00 gamma=90.00
Space group Cmmm (No. 65)
Inequivalent atoms, fractional coordinates:
Ho 0.0000 0.0000 0.0000 (multiplicity 2)
Pu 0.0000 0.0000 0.5000 (multiplicity 2)
In 0.0000 0.5000 0.2445 (multiplicity 4)
O 0.0000 0.1838 0.2788 (multiplicity 8)
O 0.1919 0.5000 0.0000 (multiplicity 4)
O 0.2026 0.5000 0.5000 (multiplicity 4)

Summary:
V   14.247 Å³ per atom
N(E_F)   0.096 states/eV per atom
Total energy   -7.548 eV/atom

---

[8]
This record from Alexandria via LeMat-Bulk describes a relaxed Tb3Pm6Th2 crystal. The functional is GGA-PBE.

Unit cell a=3.6130 b=3.6130 c=97.3512 alpha=90.00 beta=90.00 gamma=120.00
Space group R-3m (No. 166, hexagonal axes)
Inequivalent atoms, fractional coordinates:
Tb 0.0000 0.0000 0.0000 (multiplicity 3)
Tb 0.0000 0.0000 0.2731 (multiplicity 6)
Pm 0.0000 0.0000 0.0913 (multiplicity 6)
Pm 0.0000 0.0000 0.1830 (multiplicity 6)
Pm 0.0000 0.0000 0.3636 (multiplicity 6)
Th 0.0000 0.0000 0.4543 (multiplicity 6)

Summary:
Energy of formation   0.02 eV/atom
V   33.349 Å³ per atom
N(E_F)   1.483 states/eV per atom
Total energy   -5.179 eV/atom

---

[9]
This record from Alexandria via LeMat-Bulk describes a relaxed Sc6PdAu5 crystal. The functional is GGA-PBE.

Unit cell a=4.7738 b=6.7986 c=7.5752 alpha=90.00 beta=108.10 gamma=90.00
Space group P2/m (No. 10)
Inequivalent atoms, fractional coordinates:
Sc 0.0000 0.2486 0.0000 (multiplicity 2)
Sc 0.3348 0.2473 0.6696 (multiplicity 4)
Pd 0.5000 0.0000 0.0000 (multiplicity 1)
Au 0.1615 0.0000 0.3234 (multiplicity 2)
Au 0.1694 0.5000 0.3389 (multiplicity 2)
Au 0.5000 0.5000 0.0000 (multiplicity 1)

Summary:
Energy of formation   -0.82 eV/atom
V   19.474 Å³ per atom
N(E_F)   0.601 states/eV per atom
Total energy   -5.783 eV/atom

---

[10]
This record from Alexandria via LeMat-Bulk describes a relaxed PuRh6C crystal. The functional is GGA-PBE.

Unit cell a=5.5048 b=5.5048 c=14.5914 alpha=90.00 beta=90.00 gamma=120.00
Space group R-3m (No. 166, hexagonal axes)
Inequivalent atoms, fractional coordinates:
Pu 0.0000 0.0000 0.0000 (multiplicity 3)
Rh 0.0133 0.5066 0.9127 (multiplicity 18)
C 0.0000 0.0000 0.5000 (multiplicity 3)

Summary:
Energy of formation   0.01 eV/atom
V   15.955 Å³ per atom
N(E_F)   1.890 states/eV per atom
Total energy   -8.448 eV/atom

---

[11]
This record from Alexandria via LeMat-Bulk describes a relaxed TaCrN crystal. The functional is GGA-PBE.

Unit cell a=10.1114 b=2.9259 c=4.9495 alpha=90.00 beta=107.27 gamma=90.00
Space group Cm (No. 8)
Inequivalent atoms, fractional coordinates:
Ta 0.0000 0.0000 0.0000 (multiplicity 2)
Ta 0.2177 0.0000 0.6300 (multiplicity 2)
Cr 0.2704 0.5000 0.1608 (multiplicity 2)
Cr 0.4635 0.0000 0.4512 (multiplicity 2)
N 0.1149 0.5000 0.8200 (multiplicity 2)
N 0.3613 0.5000 0.5684 (multiplicity 2)

Summary:
V   11.652 Å³ per atom
N(E_F)   0.687 states/eV per atom
Total energy   -10.512 eV/atom

---

[12]
This record from Alexandria via LeMat-Bulk describes a relaxed SmZn2Au2 crystal. The functional is GGA-PBE.

Unit cell a=4.0343 b=4.0343 c=6.3007 alpha=90.00 beta=90.00 gamma=90.00
Space group P4/mmm (No. 123)
Inequivalent atoms, fractional coordinates:
Sm 0.0000 0.0000 0.0000 (multiplicity 1)
Zn 0.0000 0.5000 0.5000 (multiplicity 2)
Au 0.5000 0.5000 0.2189 (multiplicity 2)

Summary:
Energy of formation   -0.50 eV/atom
V   20.510 Å³ per atom
Energy above the lowest structure with this stoichiometry   0.0324 eV/atom
N(E_F)   0.559 states/eV per atom
Total energy   -3.265 eV/atom

---

Which value of V does entry 11 give?
11.652 Å³ per atom

---

What is the total energy in the sixth record?
-4.589 eV/atom

---

What is the total energy in the third record?
-2.851 eV/atom